## TbSb2Pd6 (PBE)

Data for crystalline TbSb2Pd6 at its relaxed geometry.

CIF file:
```
data_TbSb2Pd6
_chemical_formula_sum 'Tb1 Sb2 Pd6'
_space_group_name_H-M_alt 'P 6/m m m'
_space_group_IT_number 191
_space_group_name_Hall '-P 6 2'
_cell_length_a 5.5995
_cell_length_b 5.5995
_cell_length_c 7.0070
_cell_angle_alpha 90.00
_cell_angle_beta 90.00
_cell_angle_gamma 120.00
loop_
_atom_site_label
_atom_site_type_symbol
_atom_site_fract_x
_atom_site_fract_y
_atom_site_fract_z
Tb1 Tb 0.0000 0.0000 0.0000
Sb1 Sb 0.3333 0.6667 0.5000
Pd1 Pd 0.0000 0.5000 0.1941
```

Calculated values
The volume comes out at 190.27 Å³ per cell. The formation energy from raw total energies comes out at -452.8 meV per atom. The total energy is -48.1 eV/f.u. For the density, the calculation gives 9.1 g cm⁻³.